DFT (PBE) results for crystalline V3GaCl at its relaxed geometry.

Values from the calculation:
**V**: 15.310 A^3/atom
**Crystal system**: cubic
**Symmetry**: Pm-3m, No. 221
**Polymorph energy (0 for the lowest one)**: 0 meV/atom
**Calculated total energy**: -6.024 eV per atom
**E_form (uncorrected)**: 2.11 eV/f.u.

Cell: 4.2460 4.2460 4.2460 Å, 90.00 90.00 90.00°
Site moments in Bohr magnetons follow the coordinates.
Fractional positions:
V (0.0000, 0.5000, 0.0000)  0.32
V (0.0000, 0.0000, 0.5000)  0.32
V (0.5000, 0.0000, 0.0000)  0.32
Ga (0.5000, 0.5000, 0.5000)  -0.02
Cl (0.0000, 0.0000, 0.0000)  -0.02

DFT (PBE) results for crystalline GaW2Cl at its relaxed geometry.

Values from the calculation:
**V**: 17.568 A^3/atom
**Crystal system**: tetragonal
**Symmetry**: I-42d, No. 122
**Polymorph energy (0 for the lowest one)**: 0 meV/atom
**Calculated total energy**: -6.756 eV per atom
**E_form (uncorrected)**: 3.76 eV/f.u.

Cell: 3.8557 3.8557 9.8388 Å, 78.70 78.70 90.00°
Fractional positions:
Ga (0.0000, 0.0000, 0.0000)
Ga (0.7500, 0.2500, 0.5000)
W (0.6352, 0.1250, 0.2500)
W (0.1148, 0.6250, 0.2500)
W (0.3750, 0.3648, 0.7500)
W (0.8750, 0.8852, 0.7500)
Cl (0.5000, 0.5000, 0.0000)
Cl (0.2500, 0.7500, 0.5000)

DFT (PBE) results for crystalline Ga2WCl at its relaxed geometry.

Values from the calculation:
**V**: 22.527 A^3/atom
**Crystal system**: tetragonal
**Symmetry**: I-42d, No. 122
**Polymorph energy (0 for the lowest one)**: 0 meV/atom
**Calculated total energy**: -4.612 eV per atom
**E_form (uncorrected)**: 2.40 eV/f.u.

Cell: 8.8591 8.8591 6.6719 Å, 48.40 48.40 90.00°
Fractional positions:
Ga (0.7298, 0.1250, 0.2500)
Ga (0.0202, 0.6250, 0.2500)
Ga (0.3750, 0.2702, 0.7500)
Ga (0.8750, 0.9798, 0.7500)
W (0.0000, 0.0000, 0.0000)
W (0.7500, 0.2500, 0.5000)
Cl (0.5000, 0.5000, 0.0000)
Cl (0.2500, 0.7500, 0.5000)

DFT (PBE) results for crystalline GaW3Cl at its relaxed geometry.

Values from the calculation:
**V**: 17.116 A^3/atom
**Crystal system**: cubic
**Symmetry**: Pm-3m, No. 221
**Polymorph energy (0 for the lowest one)**: 0 meV/atom
**Calculated total energy**: -7.211 eV per atom
**E_form (uncorrected)**: 7.68 eV/f.u.

Cell: 4.4068 4.4068 4.4068 Å, 90.00 90.00 90.00°
Fractional positions:
Ga (0.5000, 0.5000, 0.5000)
W (0.0000, 0.5000, 0.0000)
W (0.0000, 0.0000, 0.5000)
W (0.5000, 0.0000, 0.0000)
Cl (0.0000, 0.0000, 0.0000)

DFT (PBE) results for crystalline Ga3WCl at its relaxed geometry.

Values from the calculation:
**V**: 25.987 A^3/atom
**Crystal system**: cubic
**Symmetry**: Pm-3m, No. 221
**Polymorph energy (0 for the lowest one)**: 0 meV/atom
**Calculated total energy**: -4.270 eV per atom
**E_form (uncorrected)**: 2.53 eV/f.u.

Cell: 5.0650 5.0650 5.0650 Å, 90.00 90.00 90.00°
Site moments in Bohr magnetons follow the coordinates.
Fractional positions:
Ga (0.0000, 0.5000, 0.0000)  0.07
Ga (0.0000, 0.0000, 0.5000)  0.06
Ga (0.5000, 0.0000, 0.0000)  0.04
W (0.0000, 0.0000, 0.0000)  1.25
Cl (0.5000, 0.5000, 0.5000)  0.15

DFT (PBE) results for crystalline Ga3WCl at its relaxed geometry.

Values from the calculation:
**V**: 20.798 A^3/atom
**Crystal system**: cubic
**Symmetry**: Pm-3m, No. 221
**Polymorph energy (0 for the lowest one)**: 813 meV/atom
**Calculated total energy**: -3.456 eV per atom
**E_form (uncorrected)**: 6.60 eV/f.u.

Cell: 4.7025 4.7025 4.7025 Å, 90.00 90.00 90.00°
Fractional positions:
Ga (0.0000, 0.5000, 0.0000)
Ga (0.0000, 0.0000, 0.5000)
Ga (0.5000, 0.0000, 0.0000)
W (0.5000, 0.5000, 0.5000)
Cl (0.0000, 0.0000, 0.0000)